This record from the Alexandria database describes a crystal of Y2CuSe relaxed with PBEsol. The functional is meta-GGA SCAN.

Computed properties:
offset from the most stable computed form: 1169 meV per atom
V: 336.5 Å³ per cell
E_form (uncorrected): 0.077 eV/atom
energy: -22.66 eV per atom

Structure (CIF):
```
data_Y2CuSe
_cell_length_a 6.956
_cell_length_b 6.956
_cell_length_c 6.956
_cell_angle_alpha 90.00
_cell_angle_beta 90.00
_cell_angle_gamma 90.00
_space_group_name_H-M_alt 'F -4 3 m'
_space_group_IT_number 216
_space_group_name_Hall 'F -4 2 3'
loop_
_atom_site_label
_atom_site_type_symbol
_atom_site_fract_x
_atom_site_fract_y
_atom_site_fract_z
Y1 Y 0.000 0.000 0.000
Y2 Y 0.250 0.250 0.250
Cu1 Cu 0.250 0.250 0.750
Se1 Se 0.000 0.000 0.500
```

This record from the Alexandria database describes a crystal of VO2F relaxed with PBEsol. The functional is meta-GGA SCAN.

Computed properties:
V: 123.8 Å³ per cell
E_form (uncorrected): -2.529 eV/atom
energy: -10.90 eV per atom

Structure (CIF):
```
data_VO2F
_cell_length_a 10.361
_cell_length_b 3.133
_cell_length_c 4.097
_cell_angle_alpha 90.00
_cell_angle_beta 111.44
_cell_angle_gamma 90.00
_space_group_name_H-M_alt 'C 1 m 1'
_space_group_IT_number 8
loop_
_space_group_symop_operation_xyz
'x,y,z'
'x,-y,z'
'x+1/2,y+1/2,z'
'x+1/2,-y+1/2,z'
loop_
_atom_site_label
_atom_site_type_symbol
_atom_site_fract_x
_atom_site_fract_y
_atom_site_fract_z
V1 V 0.000 0.000 0.000
O1 O 0.002 0.000 0.392
O2 O 0.424 0.000 0.829
F1 F 0.176 0.000 0.070
```

This record from the Alexandria database describes a crystal of GeTe2CI relaxed with PBEsol. The functional is meta-GGA SCAN.

Computed properties:
V: 156.7 Å³ per cell
E_form (uncorrected): 1.781 eV/atom
energy: -26.31 eV per atom

Structure (CIF):
```
data_GeTe2CI
_cell_length_a 5.356
_cell_length_b 5.356
_cell_length_c 5.463
_cell_angle_alpha 90.00
_cell_angle_beta 90.00
_cell_angle_gamma 90.00
_space_group_name_H-M_alt 'P 4/m m m'
_space_group_IT_number 123
_space_group_name_Hall '-P 4 2'
loop_
_atom_site_label
_atom_site_type_symbol
_atom_site_fract_x
_atom_site_fract_y
_atom_site_fract_z
Ge1 Ge 0.000 0.000 0.000
Te1 Te 0.000 0.500 0.000
C1 C 0.500 0.500 0.500
I1 I 0.000 0.000 0.500
```

This record from the Alexandria database describes a crystal of TlOs2Cl2 relaxed with PBEsol. The functional is meta-GGA SCAN.

Computed properties:
V: 181.4 Å³ per cell
E_form (uncorrected): 0.983 eV/atom
energy: -45.43 eV per atom

Structure (CIF):
```
data_TlOs2Cl2
_cell_length_a 4.069
_cell_length_b 4.069
_cell_length_c 10.960
_cell_angle_alpha 90.00
_cell_angle_beta 90.00
_cell_angle_gamma 90.00
_space_group_name_H-M_alt 'I 4/m m m'
_space_group_IT_number 139
_space_group_name_Hall '-I 4 2'
loop_
_atom_site_label
_atom_site_type_symbol
_atom_site_fract_x
_atom_site_fract_y
_atom_site_fract_z
Tl1 Tl 0.000 0.000 0.000
Os1 Os 0.000 0.000 0.395
Cl1 Cl 0.000 0.500 0.250
```

This record from the Alexandria database describes a crystal of CdCu2Pt relaxed with PBEsol. The functional is meta-GGA SCAN.

Computed properties:
energy of formation from the pure elements: -0.446 eV per formula unit
V: 56.4 Å³ per cell
energy: -32.86 eV per atom

Structure (CIF):
```
data_CdCu2Pt
_cell_length_a 2.906
_cell_length_b 2.906
_cell_length_c 6.674
_cell_angle_alpha 90.00
_cell_angle_beta 90.00
_cell_angle_gamma 90.00
_space_group_name_H-M_alt 'P 4 m m'
_space_group_IT_number 99
loop_
_space_group_symop_operation_xyz
'x,y,z'
'-y,x,z'
'-x,-y,z'
'y,-x,z'
'-x,y,z'
'y,x,z'
'x,-y,z'
'-y,-x,z'
loop_
_atom_site_label
_atom_site_type_symbol
_atom_site_fract_x
_atom_site_fract_y
_atom_site_fract_z
Cd1 Cd 0.000 0.000 0.000
Cu1 Cu 0.000 0.000 0.471
Cu2 Cu 0.500 0.500 0.272
Pt1 Pt 0.500 0.500 0.707
```

This record from the Alexandria database describes a crystal of TeOsSe2 relaxed with PBEsol. The functional is meta-GGA SCAN.

Computed properties:
V: 262.7 Å³ per cell
E_form (uncorrected): 0.576 eV/atom
energy: -36.75 eV per atom

Structure (CIF):
```
data_TeOsSe2
_cell_length_a 2.9270
_cell_length_b 2.9270
_cell_length_c 35.4057
_cell_angle_alpha 90.00
_cell_angle_beta 90.00
_cell_angle_gamma 120.00
_space_group_name_H-M_alt 'R -3 m'
_space_group_IT_number 166
_space_group_name_Hall '-R 3 2"'
loop_
_atom_site_label
_atom_site_type_symbol
_atom_site_fract_x
_atom_site_fract_y
_atom_site_fract_z
Te1 Te 0.0000 0.0000 0.0000
Os1 Os 0.0000 0.0000 0.5000
Se1 Se 0.0000 0.0000 0.4334
```

This record from the Alexandria database describes a crystal of RuPbBr2 relaxed with PBEsol. The functional is meta-GGA SCAN.

Computed properties:
offset from the most stable computed form: 514 meV per atom
V: 181.1 Å³ per cell
E_form (uncorrected): 0.508 eV/atom
energy: -36.87 eV per atom

Structure (CIF):
```
data_RuPbBr2
_cell_length_a 4.270
_cell_length_b 4.270
_cell_length_c 9.933
_cell_angle_alpha 90.00
_cell_angle_beta 90.00
_cell_angle_gamma 90.00
_space_group_name_H-M_alt 'I -4 m 2'
_space_group_IT_number 119
_space_group_name_Hall 'I -4 -2'
loop_
_atom_site_label
_atom_site_type_symbol
_atom_site_fract_x
_atom_site_fract_y
_atom_site_fract_z
Ru1 Ru 0.000 0.000 0.000
Pb1 Pb 0.000 0.500 0.750
Br1 Br 0.000 0.000 0.500
Br2 Br 0.000 0.500 0.250
```

This record from the Alexandria database describes a crystal of TcNi2Os relaxed with PBEsol. The functional is meta-GGA SCAN.

Computed properties:
energy of formation from the pure elements: 0.376 eV per formula unit
offset from the most stable computed form: 74 meV per atom
V: 97.0 Å³ per cell
energy: -34.73 eV per atom

Structure (CIF):
```
data_TcNi2Os
_cell_length_a 3.992
_cell_length_b 2.556
_cell_length_c 9.509
_cell_angle_alpha 90.00
_cell_angle_beta 90.00
_cell_angle_gamma 90.00
_space_group_name_H-M_alt 'A m m 2'
_space_group_IT_number 38
loop_
_space_group_symop_operation_xyz
'x,y,z'
'-x,-y,z'
'-x,y,z'
'x,-y,z'
'x,y+1/2,z+1/2'
'-x,-y+1/2,z+1/2'
'-x,y+1/2,z+1/2'
'x,-y+1/2,z+1/2'
loop_
_atom_site_label
_atom_site_type_symbol
_atom_site_fract_x
_atom_site_fract_y
_atom_site_fract_z
Tc1 Tc 0.000 0.000 0.000
Ni1 Ni 0.000 0.000 0.260
Ni2 Ni 0.500 0.000 0.387
Os1 Os 0.500 0.000 0.648
```